Record 1
# In8H

An optimized crystal structure of In8H (PBE-GGA, Alexandria).

The value obtained for the uncorrected energy is -24.23 eV per formula unit.

abc: 6.714 6.714 5.706
angles: 90.00 90.00 120.00
Atoms (fractional coordinates):
1 In 0.168 0.337 0.242
2 In 0.168 0.832 0.242
3 In 0.333 0.667 0.734
4 In 0.337 0.168 0.758
5 In 0.663 0.832 0.242
6 In 0.667 0.333 0.266
7 In 0.832 0.168 0.758
8 In 0.832 0.663 0.758
9 H 0.000 0.000 0.500

Record 2
# SrCaCu2

An optimized crystal structure of SrCaCu2 (PBE-GGA, Alexandria).

The value obtained for the uncorrected energy is -12.31 eV per formula unit.

abc: 6.194 6.194 4.257
angles: 90.03 90.03 40.31
Atoms (fractional coordinates):
1 Sr 0.000 0.000 0.000
2 Ca 0.721 0.721 0.500
3 Cu 0.292 0.292 0.999
4 Cu 0.407 0.407 0.499

Record 3
# GaSBrN2

An optimized crystal structure of GaSBrN2 (PBE-GGA, Alexandria).

Its formation energy (no corrections) is 1.35 eV/atom. The value obtained for the uncorrected energy is -18.70 eV per formula unit.

abc: 3.932 3.932 5.534
angles: 90.00 90.00 90.00
Atoms (fractional coordinates):
1 Ga 0.000 0.000 0.000
2 S 0.000 0.000 0.500
3 Br 0.500 0.500 0.500
4 N 0.000 0.500 0.000
5 N 0.500 0.000 0.000

Record 4
# MgTc2P

An optimized crystal structure of MgTc2P (PBE-GGA, Alexandria).

The value obtained for the uncorrected energy is -28.33 eV per formula unit.

abc: 3.021 3.021 6.553
angles: 90.00 90.00 90.00
Atoms (fractional coordinates):
1 Mg 0.000 0.000 0.000
2 Tc 0.000 0.000 0.461
3 Tc 0.500 0.500 0.721
4 P 0.500 0.500 0.282